Below is PaTeW after structural relaxation, with properties calculated at the GGA-PBE level.

Calculated values
As for the density of states at the Fermi level: 4.5 states/eV/cell. For the formation energy from raw total energies, the calculation gives -0.021 eV per atom. The mass density is 10.63 g/cm³. For the total energy, the calculation gives -51.3 eV for the cell shown. The total moment is 0.00 μB per formula unit.

extended XYZ file:
```
6
Lattice="3.427 0.000 0.000 -1.112 4.851 0.000 -1.232 -0.704 10.194" Properties=species:S:1:pos:R:3 pbc="T T T"
Pa -0.313 0.891 1.439
Pa 1.396 3.257 8.755
Te -0.690 3.371 3.433
Te 1.773 0.777 6.761
W 0.082 0.900 8.967
W 1.001 3.247 1.226
```



Below is Pa2TeW after structural relaxation, with properties calculated at the GGA-PBE level.

Calculated values
As for the density of states at the Fermi level: 6.2 states/eV/cell. For the formation energy from raw total energies, the calculation gives -0.096 eV per atom. The mass density is 13.55 g/cm³. For the total energy, the calculation gives -35.5 eV for the cell shown. The total moment is 0.00 μB per formula unit.

extended XYZ file:
```
4
Lattice="3.448 0.000 0.000 0.000 3.448 0.000 0.000 0.000 7.973" Properties=species:S:1:pos:R:3 pbc="T T T"
Pa 0.000 0.000 1.776
Pa 0.000 0.000 6.197
Te 1.724 1.724 3.987
W 1.724 1.724 0.000
```



Below is Pa2TeW after structural relaxation, with properties calculated at the GGA-PBE level.

Calculated values
As for the density of states at the Fermi level: 13.8 states/eV/cell. For the formation energy from raw total energies, the calculation gives 0.490 eV per atom. The mass density is 13.34 g/cm³. For the total energy, the calculation gives -99.4 eV for the cell shown. The total moment is 0.00 μB per formula unit.

extended XYZ file:
```
12
Lattice="3.241 0.000 0.000 -1.621 2.807 0.000 0.000 0.000 31.739" Properties=species:S:1:pos:R:3 pbc="T T T"
Pa 0.000 0.000 2.599
Pa 0.000 0.000 29.140
Pa 0.000 1.871 18.561
Pa 0.000 1.871 23.758
Pa 1.621 0.936 7.981
Pa 1.621 0.936 13.178
Te 0.000 0.000 15.870
Te 0.000 1.871 5.290
Te 1.621 0.936 26.449
W 0.000 0.000 0.000
W 0.000 1.871 21.159
W 1.621 0.936 10.580
```



Below is PaTe2W after structural relaxation, with properties calculated at the GGA-PBE level.

Calculated values
As for the density of states at the Fermi level: 16.2 states/eV/cell. For the formation energy from raw total energies, the calculation gives 0.542 eV per atom. The mass density is 11.53 g/cm³. For the total energy, the calculation gives -79.7 eV for the cell shown. The total moment is 0.00 μB per formula unit.

extended XYZ file:
```
12
Lattice="3.284 0.000 0.000 -1.642 2.844 0.000 0.000 0.000 30.983" Properties=species:S:1:pos:R:3 pbc="T T T"
Pa 0.000 0.000 0.000
Pa 0.000 1.896 20.655
Pa 1.642 0.948 10.328
Te 0.000 0.000 12.830
Te 0.000 0.000 18.153
Te 0.000 1.896 2.502
Te 0.000 1.896 7.826
Te 1.642 0.948 23.157
Te 1.642 0.948 28.481
W 0.000 0.000 15.492
W 0.000 1.896 5.164
W 1.642 0.948 25.819
```



Below is PaTeW after structural relaxation, with properties calculated at the GGA-PBE level.

Calculated values
As for the density of states at the Fermi level: 6.0 states/eV/cell. For the formation energy from raw total energies, the calculation gives 0.161 eV per atom. The mass density is 13.67 g/cm³. For the total energy, the calculation gives -50.2 eV for the cell shown. The total moment is 0.00 μB per formula unit.

extended XYZ file:
```
6
Lattice="3.409 0.000 0.000 0.000 3.409 0.000 0.000 0.000 11.342" Properties=species:S:1:pos:R:3 pbc="T T T"
Pa 0.000 0.000 0.000
Pa 1.705 1.705 5.671
Te 0.000 0.000 3.345
Te 1.705 1.705 9.016
W 0.000 0.000 7.543
W 1.705 1.705 1.872
```



Below is Y2PaTe after structural relaxation, with properties calculated at the GGA-PBE level.

Calculated values
As for the density of states at the Fermi level: 20.0 states/eV/cell. For the formation energy from raw total energies, the calculation gives 0.040 eV per atom. The mass density is 7.34 g/cm³. For the total energy, the calculation gives -76.2 eV for the cell shown. The total moment is 0.00 μB per formula unit.

extended XYZ file:
```
12
Lattice="3.584 0.000 0.000 -1.792 3.104 0.000 0.000 0.000 32.713" Properties=species:S:1:pos:R:3 pbc="T T T"
Y 0.000 0.000 3.235
Y 0.000 0.000 29.478
Y 0.000 2.069 18.574
Y 0.000 2.069 25.043
Y 1.792 1.035 7.669
Y 1.792 1.035 14.139
Pa 0.000 0.000 0.000
Pa 0.000 2.069 21.809
Pa 1.792 1.035 10.904
Te 0.000 0.000 16.356
Te 0.000 2.069 5.452
Te 1.792 1.035 27.261
```



Below is Y2Pa2Te7 after structural relaxation, with properties calculated at the GGA-PBE level.

Calculated values
As for the density of states at the Fermi level: 7.4 states/eV/cell. For the formation energy from raw total energies, the calculation gives -1.062 eV per atom. The mass density is 7.64 g/cm³. For the total energy, the calculation gives -65.6 eV for the cell shown. The total moment is 1.85 μB per formula unit.

extended XYZ file:
```
11
Lattice="-2.122 8.070 4.863 2.122 -8.070 4.863 2.122 8.070 -4.863" Properties=species:S:1:pos:R:3 pbc="T T T"
Y 0.000 3.860 0.000
Y 0.000 12.280 0.000
Pa 2.122 0.000 3.134
Pa 0.000 0.000 7.501
Te 2.122 -2.911 2.001
Te 0.000 0.000 0.833
Te 2.122 2.911 2.001
Te 2.122 6.322 -0.045
Te 0.000 1.748 4.818
Te 0.000 5.849 3.073
Te 0.000 10.292 3.073
```



Below is YPaTe6 after structural relaxation, with properties calculated at the GGA-PBE level.

Calculated values
As for the density of states at the Fermi level: 11.6 states/eV/cell. For the formation energy from raw total energies, the calculation gives -0.811 eV per atom. The mass density is 7.09 g/cm³. For the total energy, the calculation gives -82.6 eV for the cell shown. The total moment is 0.90 μB per formula unit.

extended XYZ file:
```
16
Lattice="4.408 0.000 0.000 0.000 4.405 0.000 0.000 0.000 26.189" Properties=species:S:1:pos:R:3 pbc="T T T"
Y 0.000 0.000 0.000
Y 0.000 2.202 13.095
Pa 2.204 0.000 8.889
Pa 2.204 2.202 21.984
Te 0.000 0.000 6.564
Te 0.000 0.000 15.468
Te 0.000 0.000 22.923
Te 0.000 2.202 2.373
Te 0.000 2.202 9.829
Te 0.000 2.202 19.658
Te 2.204 0.000 2.376
Te 2.204 0.000 12.080
Te 2.204 0.000 19.658
Te 2.204 2.202 6.563
Te 2.204 2.202 15.471
Te 2.204 2.202 25.175
```



Below is YPaTe3 after structural relaxation, with properties calculated at the GGA-PBE level.

Calculated values
As for the density of states at the Fermi level: 12.2 states/eV/cell. For the formation energy from raw total energies, the calculation gives -0.904 eV per atom. The mass density is 7.30 g/cm³. For the total energy, the calculation gives -59.8 eV for the cell shown. The total moment is 1.24 μB per formula unit.

extended XYZ file:
```
10
Lattice="-2.985 5.366 4.994 2.985 -5.366 4.994 2.985 5.366 -4.994" Properties=species:S:1:pos:R:3 pbc="T T T"
Y 0.000 0.000 0.000
Y 0.000 5.366 0.000
Pa 2.985 2.683 0.611
Pa 0.000 2.683 4.383
Te 2.985 -0.482 1.619
Te 2.985 4.883 -1.619
Te 0.000 2.683 1.200
Te 2.985 2.683 3.794
Te 0.000 0.482 6.613
Te 0.000 5.848 3.375
```



Below is Y2Pa2Te7 after structural relaxation, with properties calculated at the GGA-PBE level.

Calculated values
As for the density of states at the Fermi level: 11.2 states/eV/cell. For the formation energy from raw total energies, the calculation gives -0.895 eV per atom. The mass density is 6.32 g/cm³. For the total energy, the calculation gives -63.8 eV for the cell shown. The total moment is 1.99 μB per formula unit.

extended XYZ file:
```
11
Lattice="5.229 0.000 0.000 0.000 5.229 0.000 0.000 0.000 14.726" Properties=species:S:1:pos:R:3 pbc="T T T"
Y 0.000 2.614 2.005
Y 2.614 0.000 12.721
Pa 0.000 2.614 9.219
Pa 2.614 0.000 5.506
Te 0.000 0.000 3.476
Te 0.000 0.000 7.363
Te 0.000 0.000 11.250
Te 2.614 2.614 0.000
Te 2.614 2.614 3.767
Te 2.614 2.614 7.363
Te 2.614 2.614 10.959
```



Below is Y3PaTe6 after structural relaxation, with properties calculated at the GGA-PBE level.

Calculated values
As for the density of states at the Fermi level: 14.1 states/eV/cell. For the formation energy from raw total energies, the calculation gives -1.096 eV per atom. The mass density is 6.16 g/cm³. For the total energy, the calculation gives -117.4 eV for the cell shown. The total moment is 2.02 μB per formula unit.

extended XYZ file:
```
20
Lattice="5.996 -7.461 0.000 5.996 7.461 0.000 0.000 0.000 7.615" Properties=species:S:1:pos:R:3 pbc="T T T"
Y 5.996 6.086 3.807
Y 3.776 1.544 2.971
Y 3.776 -1.544 6.779
Y 8.216 1.544 2.971
Y 8.216 -1.544 6.779
Y 5.996 -6.086 0.000
Pa 5.996 2.445 6.589
Pa 5.996 -2.445 2.781
Te 3.939 4.030 5.022
Te 2.001 0.543 5.354
Te 2.001 -0.543 1.546
Te 5.996 3.477 1.857
Te 8.053 4.030 5.022
Te 5.996 0.078 4.652
Te 5.996 -0.078 0.844
Te 3.939 -4.030 1.214
Te 5.996 -3.477 5.664
Te 9.991 0.543 5.354
Te 9.991 -0.543 1.546
Te 8.053 -4.030 1.214
```